# Nd2PaSi6

A geometry-optimized Nd2PaSi6 structure (PBE-GGA, Alexandria).

For the formation energy (no corrections), the calculation gives -556 meV/atom. The total energy comes out at -56.57 eV/cell. As for the calculated density: 6.39 g/cm³.

The space group is P6/mmm (No. 191) and the conventional cell measures 7.0947, 7.0947 and 4.0990 Å, with angles of 90.00, 90.00 and 120.00 degrees. Symmetry generates all atoms from Nd at (0.3333, 0.6667, 0.0000), Pa at (0.0000, 0.0000, 0.0000) and Si at (0.0000, 0.3297, 0.5000).

=====

# CeGa9Ir2

A geometry-optimized CeGa9Ir2 structure (PBE-GGA, Alexandria).

The total energy comes out at -219.66 eV/cell. Its formation energy is -0.33 eV per atom. As for the calculated density: 9.17 g/cm³.

The space group is I4_1/amd (No. 141, origin choice 2) and the conventional cell measures 10.4359, 10.4359 and 7.6587 Å, with angles of 90.00, 90.00 and 90.00 degrees. Symmetry generates all atoms from Ce at (0.0000, 0.2500, 0.3750), Ga at (0.0000, 0.2500, 0.8750), Ga at (0.1204, 0.0436, 0.6843) and Ir at (0.0000, 0.0000, 0.0000).

=====

# TbErAlCr

A geometry-optimized TbErAlCr structure (PBE-GGA, Alexandria).

The total energy comes out at -90.62 eV/cell. Its formation energy is -0.02 eV per atom. As for the calculated density: 7.23 g/cm³.

The space group is F-43m (No. 216) and the conventional cell measures 7.1940, 7.1940 and 7.1940 Å, with angles of 90.00, 90.00 and 90.00 degrees. Symmetry generates all atoms from Tb at (0.0000, 0.0000, 0.0000), Er at (0.0000, 0.0000, 0.5000), Al at (0.2500, 0.2500, 0.2500) and Cr at (0.2500, 0.2500, 0.7500).

=====

# V3SeBr

A geometry-optimized V3SeBr structure (PBE-GGA, Alexandria).

The distance to the lowest polymorph of the same formula comes out at 0 meV/atom. For the formation energy (no corrections), the calculation gives 769 meV/atom. The total energy comes out at -28.67 eV/cell. As for the calculated density: 4.26 g/cm³.

The space group is Pm-3m (No. 221) and the conventional cell measures 4.9527, 4.9527 and 4.9527 Å, with angles of 90.00, 90.00 and 90.00 degrees. Symmetry generates all atoms from V at (0.0000, 0.0000, 0.5000), Se at (0.0000, 0.0000, 0.0000) and Br at (0.5000, 0.5000, 0.5000).

=====

# MoN3Cl6

A geometry-optimized MoN3Cl6 structure (PBE-GGA, Alexandria).

For the formation energy (no corrections), the calculation gives 1039 meV/atom. The total energy comes out at -72.99 eV/cell. As for the calculated density: 1.98 g/cm³.

The space group is P4_2/m (No. 84) and the conventional cell measures 8.8784, 8.8784 and 7.4601 Å, with angles of 90.00, 90.00 and 90.00 degrees. Symmetry generates all atoms from Mo at (0.0000, 0.5000, 0.0000), N at (0.0000, 0.0000, 0.0000), N at (0.2379, 0.5935, 0.5000), Cl at (0.0489, 0.3224, 0.2193) and Cl at (0.2513, 0.5686, 0.0000).

=====

# KScAl2

A geometry-optimized KScAl2 structure (PBE-GGA, Alexandria).

The distance to the lowest polymorph of the same formula comes out at 0 meV/atom. The total energy comes out at -15.00 eV/cell. Its formation energy is -0.02 eV per atom. As for the calculated density: 2.19 g/cm³.

The space group is Pmmm (No. 47) and the conventional cell measures 3.1396, 4.2916 and 7.7704 Å, with angles of 90.00, 90.00 and 90.00 degrees. Symmetry generates all atoms from K at (0.0000, 0.0000, 0.0000), Sc at (0.0000, 0.0000, 0.5000) and Al at (0.5000, 0.5000, 0.3279).

=====

# Ho3ThTc

A geometry-optimized Ho3ThTc structure (PBE-GGA, Alexandria).

The distance to the lowest polymorph of the same formula comes out at 31 meV/atom. The total energy comes out at -127.09 eV/cell. Its formation energy is -0.05 eV per atom. As for the calculated density: 9.24 g/cm³.

The space group is C2/m (No. 12) and the conventional cell measures 11.6902, 8.7001 and 7.9179 Å, with angles of 90.00, 132.56 and 90.00 degrees. Symmetry generates all atoms from Ho at (0.0479, 0.0000, 0.2554), Ho at (0.2488, 0.3017, 0.2078), Th at (0.0483, 0.5000, 0.3335) and Tc at (0.2352, 0.5000, 0.8558).

=====

# MgAgTe2

A geometry-optimized MgAgTe2 structure (PBE-GGA, Alexandria).

For the formation energy (no corrections), the calculation gives -268 meV/atom. The total energy comes out at -35.40 eV/cell. As for the calculated density: 5.97 g/cm³.

The space group is R3m (No. 160, hexagonal axes) and the conventional cell measures 4.2609, 4.2609 and 20.5520 Å, with angles of 90.00, 90.00 and 120.00 degrees. Symmetry generates all atoms from Mg at (0.0000, 0.0000, 0.0000), Ag at (0.0000, 0.0000, 0.8343), Te at (0.0000, 0.0000, 0.2492) and Te at (0.0000, 0.0000, 0.4193).